Record 1
VASP calculation (PBE) on crystalline Ce5Sb2PN at its relaxed geometry.

total magnetization	3.4	μB/cell
symmetry	No. 123
energy	-6.79	eV/atom

Unit cell a=4.6025 b=4.6025 c=11.3297 alpha=90.00 beta=90.00 gamma=90.00
Sites, in units of the cell vectors:
Ce1 0.0000 0.5000 0.5000
Ce2 0.5000 0.0000 0.5000
Ce3 0.0000 0.0000 0.7516
Ce4 0.0000 0.0000 0.2484
Ce5 0.5000 0.5000 0.0000
Sb1 0.5000 0.5000 0.2875
Sb2 0.5000 0.5000 0.7125
P1 0.0000 0.0000 0.0000
N1 0.0000 0.0000 0.5000

---

Record 2
VASP calculation (PBE) on crystalline Sr2InAgPt at its relaxed geometry.

energy relative to the elements	-0.38	eV/atom
total magnetization	0.0	μB/cell
symmetry	No. 123
energy	-3.38	eV/atom

Unit cell a=5.8284 b=5.8284 c=5.1461 alpha=90.00 beta=90.00 gamma=90.00
Sites, in units of the cell vectors:
Sr1 0.0000 0.5000 0.0000
Sr2 0.5000 0.0000 0.0000
Ag1 0.5000 0.5000 0.5000
Pt1 0.0000 0.0000 0.0000
In1 0.0000 0.0000 0.5000

---

Record 3
VASP calculation (PBE) on crystalline Dy2TmTe3 at its relaxed geometry.

total magnetization	0.0	μB/cell
symmetry	No. 167
energy	-5.11	eV/atom

Unit cell a=7.2150 b=7.2150 c=8.7778 alpha=65.73 beta=65.73 gamma=60.00
Sites, in units of the cell vectors:
Dy1 0.1672 0.1672 0.4984
Dy2 0.3328 0.3328 0.0016
Dy3 0.8328 0.8328 0.5016
Dy4 0.6672 0.6672 0.9984
Tm1 0.5000 0.5000 0.5000
Tm2 0.0000 0.0000 0.0000
Te1 0.9139 0.5861 0.2500
Te2 0.2500 0.9139 0.2500
Te3 0.7500 0.0861 0.7500
Te4 0.4139 0.7500 0.7500
Te5 0.0861 0.4139 0.7500
Te6 0.5861 0.2500 0.2500

---

Record 4
VASP calculation (PBE) on crystalline Cs3Mg5F12 at its relaxed geometry.

total magnetization	0.0	μB/cell
symmetry	No. 230
energy	-4.71	eV/atom

Unit cell a=12.1972 b=12.1972 c=12.1972 alpha=109.47 beta=109.47 gamma=109.47
Sites, in units of the cell vectors:
Cs1 0.7500 0.3750 0.1250
Cs2 0.8750 0.7500 0.1250
Cs3 0.3750 0.7500 0.6250
Cs4 0.2500 0.1250 0.3750
Cs5 0.8750 0.1250 0.2500
Cs6 0.3750 0.6250 0.2500
Cs7 0.6250 0.3750 0.7500
Cs8 0.1250 0.8750 0.7500
Cs9 0.7500 0.8750 0.6250
Cs10 0.6250 0.2500 0.3750
Cs11 0.1250 0.2500 0.8750
Cs12 0.2500 0.6250 0.8750
Mg1 0.1250 0.3750 0.2500
Mg2 0.0000 0.5000 0.0000
Mg3 0.0000 0.0000 0.0000
Mg4 0.3750 0.2500 0.1250
Mg5 0.5000 0.0000 0.5000
Mg6 0.5000 0.5000 0.0000
Mg7 0.1250 0.7500 0.3750
Mg8 0.7500 0.1250 0.8750
Mg9 0.7500 0.6250 0.3750
Mg10 0.3750 0.1250 0.7500
Mg11 0.6250 0.8750 0.2500
Mg12 0.5000 0.5000 0.5000
Mg13 0.5000 0.0000 0.0000
Mg14 0.0000 0.0000 0.5000
Mg15 0.2500 0.3750 0.6250
Mg16 0.2500 0.8750 0.1250
Mg17 0.0000 0.5000 0.5000
Mg18 0.8750 0.2500 0.6250
Mg19 0.6250 0.7500 0.8750
Mg20 0.8750 0.6250 0.7500
F1 0.6727 0.0968 0.9880
F2 0.3153 0.4880 0.3912
F3 0.0120 0.4032 0.3273
F4 0.4880 0.1727 0.0968
F5 0.5758 0.6727 0.6847
F6 0.0120 0.6088 0.1847
F7 0.3153 0.8273 0.4242
F8 0.1088 0.9242 0.0968
F9 0.6088 0.0120 0.6847
F10 0.6727 0.5758 0.1847
F11 0.8273 0.5120 0.4032
F12 0.8153 0.8912 0.9880
F13 0.0968 0.6727 0.4880
F14 0.4032 0.3912 0.0758
F15 0.0758 0.8912 0.4032
F16 0.4242 0.0968 0.6088
F17 0.0758 0.1847 0.1727
F18 0.5120 0.6847 0.1088
F19 0.8153 0.9242 0.3273
F20 0.0968 0.4242 0.1088
F21 0.4032 0.0120 0.8273
F22 0.6088 0.5968 0.4242
F23 0.8912 0.8153 0.4880
F24 0.8273 0.3153 0.9242
F25 0.3912 0.4032 0.5758
F26 0.1088 0.1847 0.5120
F27 0.1727 0.6847 0.0758
F28 0.1847 0.0758 0.6727
F29 0.5968 0.9880 0.1727
F30 0.9032 0.5758 0.8912
F31 0.4880 0.3153 0.8912
F32 0.5758 0.9032 0.3912
F33 0.9242 0.8153 0.8273
F34 0.9242 0.1088 0.5968
F35 0.9032 0.3273 0.5120
F36 0.1847 0.1088 0.0120
F37 0.5968 0.6088 0.9242
F38 0.3912 0.9880 0.3153
F39 0.3273 0.4242 0.8153
F40 0.1727 0.4880 0.5968
F41 0.8912 0.0758 0.9032
F42 0.6847 0.1727 0.5758
F43 0.5120 0.8273 0.9032
F44 0.9880 0.3912 0.8153
F45 0.4242 0.3273 0.3153
F46 0.9880 0.5968 0.6727
F47 0.6847 0.5120 0.6088
F48 0.3273 0.9032 0.0120

---

Record 5
VASP calculation (PBE) on crystalline Ho4SiPbC at its relaxed geometry.

total magnetization	0.0	μB/cell
symmetry	No. 63
energy	-5.76	eV/atom

Unit cell a=6.6793 b=6.6855 c=8.4551 alpha=90.00 beta=113.27 gamma=90.00
Sites, in units of the cell vectors:
Ho1 0.9179 0.2500 0.8357
Ho2 0.4077 0.7500 0.8154
Ho3 0.0821 0.7500 0.1643
Ho4 0.5923 0.2500 0.1846
Ho5 0.5000 0.5000 0.5000
Ho6 0.0000 0.0000 0.5000
Ho7 0.5000 0.0000 0.5000
Ho8 0.0000 0.5000 0.5000
Si1 0.1160 0.2500 0.2319
Si2 0.8840 0.7500 0.7681
Pb1 0.6062 0.7500 0.2124
Pb2 0.3938 0.2500 0.7876
C1 0.2477 0.7500 0.4953
C2 0.7523 0.2500 0.5047

---

Record 6
VASP calculation (PBE) on crystalline AcGaBi4 at its relaxed geometry.

energy relative to the elements	-0.13	eV/atom
total magnetization	0.0	μB/cell
symmetry	No. 216
energy	-3.91	eV/atom

Unit cell a=6.6023 b=6.6023 c=6.6023 alpha=60.00 beta=60.00 gamma=60.00
Sites, in units of the cell vectors:
Ac1 0.2500 0.2500 0.2500
Bi1 0.6259 0.6259 0.1222
Bi2 0.6259 0.1222 0.6259
Bi3 0.6259 0.6259 0.6259
Bi4 0.1222 0.6259 0.6259
Ga1 0.0000 0.0000 0.0000